YCoSe3 (PBE-GGA, optimized geometry); symmetry = Pm-3m (221); energy = -5.351 eV per atom; energy above the most stable polymorph in this dataset = 0.0 meV per atom; E_form (uncorrected) = -0.55 eV per atom
1.0
-4.706 -0.393 0.208
0.391 -4.711 -0.068
0.213 -0.051 4.722
Co Se Y
1 3 1
direct
0.000 0.000 0.000 Co
0.000 0.500 0.000 Se
0.000 0.000 0.500 Se
0.500 0.000 0.000 Se
0.500 0.500 0.500 Y

---

YCo3Se (PBE-GGA, optimized geometry); symmetry = Pm-3m (221); energy = -6.150 eV per atom; energy above the most stable polymorph in this dataset = 0.0 meV per atom; E_form (uncorrected) = 0.10 eV per atom
1.0
-2.115 -3.804 -0.476
1.454 -0.293 -4.120
3.547 -2.149 1.405
Co Y Se
3 1 1
direct
0.500 0.000 0.000 Co
0.000 0.000 0.500 Co
0.000 0.500 0.000 Co
0.500 0.500 0.500 Y
0.000 0.000 0.000 Se

---

Y5Co2Se2 (PBE-GGA, optimized geometry); symmetry = Cmce (64); energy = -6.782 eV per atom; E_form (uncorrected) = -0.84 eV per atom
1.0
-0.357 -0.601 7.485
-4.921 -5.522 -0.678
5.401 -5.257 3.610
Y Se Co
10 4 4
direct
0.296 0.664 0.747 Y
0.500 0.500 0.000 Y
0.000 0.000 0.000 Y
0.704 0.336 0.253 Y
0.796 0.836 0.747 Y
0.204 0.164 0.253 Y
0.957 0.336 0.747 Y
0.457 0.164 0.747 Y
0.043 0.664 0.253 Y
0.543 0.836 0.253 Y
0.207 0.000 0.587 Se
0.793 0.000 0.413 Se
0.293 0.500 0.413 Se
0.707 0.500 0.587 Se
0.616 0.110 0.000 Co
0.384 0.890 0.000 Co
0.116 0.390 0.000 Co
0.884 0.610 0.000 Co

---

YCo2Se2 (PBE-GGA, optimized geometry); symmetry = I4/mmm (139); energy = -6.139 eV per atom; E_form (uncorrected) = -0.61 eV per atom
1.0
3.826 0.000 0.000
0.000 3.826 0.000
1.913 1.913 5.747
Co Se Y
2 2 1
direct
0.250 0.750 0.500 Co
0.750 0.250 0.500 Co
0.632 0.632 0.735 Se
0.368 0.368 0.265 Se
0.000 0.000 0.000 Y

---

YCoSe3 (PBE-GGA, optimized geometry); symmetry = Pm-3m (221); energy = -4.555 eV per atom; energy above the most stable polymorph in this dataset = 796.1 meV per atom; E_form (uncorrected) = 0.25 eV per atom
1.0
5.432 0.000 0.000
0.000 5.432 0.000
0.000 0.000 5.432
Se Y Co
3 1 1
direct
0.000 0.000 0.500 Se
0.000 0.500 0.000 Se
0.500 0.000 0.000 Se
0.000 0.000 0.000 Y
0.500 0.500 0.500 Co

---

YCo3Se (PBE-GGA, optimized geometry); symmetry = Pm-3m (221); energy = -4.576 eV per atom; energy above the most stable polymorph in this dataset = 1573.9 meV per atom; E_form (uncorrected) = 1.68 eV per atom
1.0
-3.471 -0.984 -3.058
-2.324 -2.340 3.391
-2.219 3.991 1.234
Co Se Y
3 1 1
direct
0.000 0.500 0.000 Co
0.000 0.000 0.500 Co
0.500 0.000 0.000 Co
0.500 0.500 0.500 Se
0.000 0.000 0.000 Y

---

Y4CoSe3 (PBE-GGA, optimized geometry); symmetry = P2/c (13); energy = -6.802 eV per atom; E_form (uncorrected) = -1.38 eV per atom
1.0
6.904 0.020 0.000
-2.403 6.828 0.000
0.000 0.000 8.181
Se Y Co
6 8 2
direct
0.750 0.000 0.383 Se
0.250 0.500 0.875 Se
0.750 0.500 0.125 Se
0.750 0.500 0.614 Se
0.250 0.500 0.386 Se
0.250 0.000 0.617 Se
0.505 0.227 0.883 Y
0.995 0.773 0.883 Y
0.495 0.773 0.117 Y
0.005 0.227 0.117 Y
0.478 0.231 0.347 Y
0.978 0.231 0.653 Y
0.022 0.769 0.347 Y
0.522 0.769 0.653 Y
0.750 0.000 0.884 Co
0.250 0.000 0.116 Co

---

YCoSe4 (PBE-GGA, optimized geometry); symmetry = F-43m (216); energy = -4.243 eV per atom; E_form (uncorrected) = 0.34 eV per atom
1.0
-1.516 -0.460 5.461
0.375 4.509 3.444
-4.726 2.554 1.864
Se Co Y
4 1 1
direct
0.374 0.374 0.374 Se
0.374 0.374 0.878 Se
0.878 0.374 0.374 Se
0.374 0.878 0.374 Se
0.000 0.000 0.000 Co
0.750 0.750 0.750 Y

---

Y3CoSe (PBE-GGA, optimized geometry); symmetry = Pm-3m (221); energy = -6.344 eV per atom; energy above the most stable polymorph in this dataset = 376.7 meV per atom; E_form (uncorrected) = -0.35 eV per atom
1.0
-0.513 3.777 3.474
-4.395 1.479 -2.256
-2.649 -3.185 3.072
Y Se Co
3 1 1
direct
0.500 0.000 0.000 Y
0.000 0.500 0.000 Y
0.000 0.000 0.500 Y
0.500 0.500 0.500 Se
0.000 0.000 0.000 Co

---

ZnCo2Se (PBE-GGA, optimized geometry); symmetry = I-4m2 (119); energy = -4.504 eV per atom; energy above the most stable polymorph in this dataset = 125.0 meV per atom; E_form (uncorrected) = 0.24 eV per atom
1.0
-0.294 -4.825 0.349
3.742 -2.301 2.048
-2.821 3.794 1.066
Zn Co Se
1 2 1
direct
0.750 0.250 0.500 Zn
0.250 0.750 0.500 Co
0.000 0.000 0.000 Co
0.500 0.500 0.000 Se

---

Zn2CoSe (PBE-GGA, optimized geometry); symmetry = R-3m (166); energy = -3.059 eV per atom; E_form (uncorrected) = 0.23 eV per atom
1.0
9.857 0.258 0.152
9.399 2.981 0.152
9.399 1.581 2.532
Zn Co Se
2 1 1
direct
0.484 0.484 0.484 Zn
0.016 0.016 0.016 Zn
0.750 0.750 0.750 Co
0.250 0.250 0.250 Se

---

ZnCoSe (PBE-GGA, optimized geometry); symmetry = Amm2 (38); energy = -3.817 eV per atom; energy above the most stable polymorph in this dataset = 158.4 meV per atom; E_form (uncorrected) = 0.14 eV per atom
1.0
-3.058 0.225 -0.729
2.123 -0.548 -2.262
-1.183 -11.017 1.559
Co Se Zn
2 2 2
direct
0.447 0.893 0.500 Co
0.442 0.885 0.000 Co
0.109 0.217 0.861 Se
0.109 0.217 0.139 Se
0.780 0.560 0.347 Zn
0.780 0.560 0.653 Zn

---

ZnCoSe2 (PBE-GGA, optimized geometry); symmetry = Cmmm (65); energy = -3.525 eV per atom; E_form (uncorrected) = 0.31 eV per atom
1.0
-4.000 2.221 -0.122
-2.229 -3.996 0.094
-0.041 0.095 3.077
Se Zn Co
2 1 1
direct
0.500 0.500 0.000 Se
0.000 0.000 0.000 Se
0.500 0.000 0.500 Zn
0.000 0.500 0.500 Co

---

ZnCo2Se (PBE-GGA, optimized geometry); symmetry = I-42d (122); energy = -4.214 eV per atom; energy above the most stable polymorph in this dataset = 414.6 meV per atom; E_form (uncorrected) = 0.53 eV per atom
1.0
5.581 0.000 0.000
0.000 5.581 0.000
2.790 2.790 4.718
Co Zn Se
4 2 2
direct
0.875 0.899 0.750 Co
0.101 0.625 0.250 Co
0.649 0.125 0.250 Co
0.375 0.351 0.750 Co
0.500 0.500 0.000 Zn
0.250 0.750 0.500 Zn
0.000 0.000 0.000 Se
0.750 0.250 0.500 Se

---

ZnCoSe2 (PBE-GGA, optimized geometry); symmetry = I-4m2 (119); energy = -3.657 eV per atom; E_form (uncorrected) = 0.18 eV per atom
1.0
7.994 0.166 0.000
6.363 4.843 0.000
-7.178 -2.504 2.477
Se Co Zn
2 1 1
direct
0.250 0.750 0.500 Se
0.000 0.000 0.000 Se
0.750 0.250 0.500 Co
0.500 0.500 0.000 Zn

---

ZnCo4Se (PBE-GGA, optimized geometry); symmetry = F-43m (216); energy = -5.214 eV per atom; E_form (uncorrected) = 0.32 eV per atom
1.0
1.513 -4.344 -1.422
-2.613 -2.551 -3.138
1.592 -0.641 -4.499
Co Zn Se
4 1 1
direct
0.375 0.375 0.876 Co
0.375 0.375 0.375 Co
0.375 0.876 0.375 Co
0.876 0.375 0.375 Co
0.000 0.000 0.000 Zn
0.750 0.750 0.750 Se

---

Zn2CoSe (PBE-GGA, optimized geometry); symmetry = P4/mmm (123); energy = -3.097 eV per atom; E_form (uncorrected) = 0.19 eV per atom
1.0
3.871 0.000 0.000
0.000 3.894 0.000
0.000 0.000 3.894
Se Zn Co
1 2 1
direct
0.500 0.000 0.500 Se
0.000 0.500 0.500 Zn
0.000 0.000 0.000 Zn
0.500 0.500 0.000 Co

---

Zn2CoSe (PBE-GGA, optimized geometry); symmetry = R3m (160); energy = -3.221 eV per atom; E_form (uncorrected) = 0.06 eV per atom
1.0
7.847 -0.021 -0.012
7.226 3.058 -0.012
7.226 1.456 2.689
Zn Co Se
2 1 1
direct
0.758 0.758 0.758 Zn
0.004 0.004 0.004 Zn
0.505 0.505 0.505 Co
0.232 0.232 0.232 Se

---

ZnCoSe2 (PBE-GGA, optimized geometry); symmetry = I-42d (122); energy = -4.139 eV per atom; E_form (uncorrected) = -0.30 eV per atom
1.0
5.627 0.000 0.000
0.000 5.627 0.000
2.814 2.814 5.623
Zn Se Co
2 4 2
direct
0.000 0.000 0.000 Zn
0.750 0.250 0.500 Zn
0.139 0.625 0.250 Se
0.611 0.125 0.250 Se
0.875 0.861 0.750 Se
0.375 0.389 0.750 Se
0.500 0.500 0.000 Co
0.250 0.750 0.500 Co

---

ZnCo2Se (PBE-GGA, optimized geometry); symmetry = C2/m (12); energy = -4.400 eV per atom; energy above the most stable polymorph in this dataset = 228.9 meV per atom; E_form (uncorrected) = 0.34 eV per atom
1.0
4.819 -0.021 0.085
-1.591 4.549 0.085
0.698 0.978 2.524
Co Se Zn
2 1 1
direct
0.500 0.500 0.000 Co
0.000 0.000 0.000 Co
0.500 0.000 0.500 Se
0.000 0.500 0.500 Zn

---

ZnCoSe (PBE-GGA, optimized geometry); symmetry = P-6m2 (187); energy = -3.811 eV per atom; energy above the most stable polymorph in this dataset = 164.6 meV per atom; E_form (uncorrected) = 0.14 eV per atom
1.0
3.918 0.000 0.000
-1.959 3.393 0.000
0.000 0.000 3.573
Se Co Zn
1 1 1
direct
0.333 0.667 0.167 Se
0.000 0.000 0.167 Co
0.667 0.333 0.667 Zn

---

ZnCo2Se (PBE-GGA, optimized geometry); symmetry = Cm (8); energy = -4.579 eV per atom; energy above the most stable polymorph in this dataset = 50.0 meV per atom; E_form (uncorrected) = 0.16 eV per atom
1.0
4.630 0.003 -0.010
3.668 2.825 -0.010
0.926 0.315 3.979
Zn Co Se
1 2 1
direct
0.247 0.247 0.179 Zn
0.771 0.771 0.670 Co
0.987 0.987 0.057 Co
0.495 0.495 0.595 Se

---

Zn2CoSe (PBE-GGA, optimized geometry); symmetry = Amm2 (38); energy = -3.310 eV per atom; E_form (uncorrected) = -0.03 eV per atom
1.0
2.873 0.000 0.000
0.000 3.879 0.000
0.000 1.937 5.783
Zn Co Se
2 1 1
direct
0.000 0.931 0.012 Zn
0.500 0.279 0.316 Zn
0.000 0.724 0.428 Co
0.500 0.566 0.744 Se

---

ZnCoSe2 (PBE-GGA, optimized geometry); symmetry = R-3m (166); energy = -3.987 eV per atom; E_form (uncorrected) = -0.15 eV per atom
1.0
-4.593 3.377 4.932
-1.475 3.063 6.728
-1.958 5.791 4.410
Co Se Zn
1 2 1
direct
0.500 0.500 0.500 Co
0.888 0.888 0.888 Se
0.112 0.112 0.112 Se
0.000 0.000 0.000 Zn

---

Zn2CoSe (PBE-GGA, optimized geometry); symmetry = Cmmm (65); energy = -3.117 eV per atom; E_form (uncorrected) = 0.17 eV per atom
1.0
4.387 0.012 0.000
-1.599 4.086 0.000
0.000 0.000 3.388
Zn Se Co
2 1 1
direct
0.500 0.500 0.000 Zn
0.000 0.000 0.000 Zn
0.000 0.500 0.500 Se
0.500 0.000 0.500 Co

---

ZnCoSe2 (PBE-GGA, optimized geometry); symmetry = P2/m (10); energy = -3.924 eV per atom; E_form (uncorrected) = -0.09 eV per atom
1.0
-1.545 -2.891 -1.250
2.876 -2.902 3.155
-1.094 -1.787 5.484
Se Zn Co
2 1 1
direct
0.000 0.600 0.597 Se
0.000 0.900 0.903 Se
0.500 0.250 0.250 Zn
0.500 0.750 0.750 Co

---

ZnCo2Se (PBE-GGA, optimized geometry); symmetry = R-3m (166); energy = -4.539 eV per atom; energy above the most stable polymorph in this dataset = 90.1 meV per atom; E_form (uncorrected) = 0.20 eV per atom
1.0
-6.992 2.942 -0.485
-7.573 0.309 0.574
-6.796 2.450 2.364
Se Co Zn
1 2 1
direct
0.250 0.250 0.250 Se
0.996 0.996 0.996 Co
0.504 0.504 0.504 Co
0.750 0.750 0.750 Zn

---

ZnCoSe (PBE-GGA, optimized geometry); symmetry = P3m1 (156); energy = -3.937 eV per atom; energy above the most stable polymorph in this dataset = 38.1 meV per atom; E_form (uncorrected) = 0.02 eV per atom
1.0
3.135 0.000 0.000
-1.568 2.715 0.000
0.000 0.000 5.668
Zn Co Se
1 1 1
direct
0.333 0.667 0.704 Zn
0.000 0.000 0.024 Co
0.667 0.333 0.272 Se